No. 1
Tb2HoTmSe6 | PBE | relaxed

Space group: R3
Crystal system: trigonal
Size of the total moment: 0.00 μB/cell
DFT total energy: -57.71 eV per cell
E_form (uncorrected): -178 kJ per mole of atoms
Calculated density: 6.5 g cm⁻³
Density of states at the Fermi level: 0.00 states/eV per atom

Lattice parameters (Å, degrees): 7.1879 7.1879 7.6860 62.12 62.12 60.00
Positions (direct):
Tb 0.5153 0.5153 0.4540
Tb 0.0149 0.0149 0.9554
Ho 0.8188 0.8189 0.5435
Tm 0.3195 0.3195 0.0415
Se 0.6056 0.2176 0.2528
Se 0.2176 0.9240 0.2528
Se 0.9240 0.6056 0.2528
Se 0.4212 0.7161 0.7541
Se 0.7161 0.1085 0.7541
Se 0.1086 0.4212 0.7541


No. 2
EuInSnAu | PBE | relaxed

Space group: F-43m
Formation energy from the elements: -0.451 eV per atom
Crystal system: cubic
Size of the total moment: 7.02 μB/cell
DFT total energy: -22.10 eV per cell
Calculated density: 9.6 g cm⁻³
Density of states at the Fermi level: 0.25 states/eV per atom

Lattice parameters (Å, degrees): 5.2214 5.2214 5.2214 60.00 60.00 60.00
Positions (direct):
Eu 0.5000 0.5000 0.5000
Au 0.7500 0.7500 0.7500
Sn 0.2500 0.2500 0.2500
In 0.0000 0.0000 0.0000


No. 3
Ce3ErTm2Sb6 | PBE | relaxed

Space group: C2/m
Crystal system: monoclinic
Size of the total moment: 2.43 μB/cell
DFT total energy: -68.76 eV per cell
E_form (uncorrected): -102 kJ per mole of atoms
Calculated density: 7.5 g cm⁻³
Density of states at the Fermi level: 1.67 states/eV per atom

Lattice parameters (Å, degrees): 7.6656 7.6656 7.6467 99.62 99.62 119.99
Positions (direct):
Ce 0.1664 0.8336 0.5000
Ce 0.8336 0.1664 0.5000
Ce 0.5000 0.5000 0.5000
Er 0.0000 0.0000 0.0000
Tm 0.3333 0.6667 0.0000
Tm 0.6667 0.3333 0.0000
Sb 0.9199 0.5859 0.7596
Sb 0.7461 0.7461 0.2402
Sb 0.0801 0.4141 0.2404
Sb 0.5859 0.9199 0.7596
Sb 0.2539 0.2539 0.7598
Sb 0.4141 0.0801 0.2404


No. 4
V5TcRu6 | PBE | relaxed

Space group: P2/m
Formation energy from the elements: -0.185 eV per atom
Crystal system: monoclinic
Size of the total moment: 0.01 μB/cell
DFT total energy: -113.83 eV per cell
Calculated density: 9.6 g cm⁻³
Density of states at the Fermi level: 1.04 states/eV per atom

Lattice parameters (Å, degrees): 4.4670 5.7580 7.2041 90.00 116.71 90.00
Positions (direct):
Ru 0.8677 0.7500 0.6489
Ru 0.8677 0.2500 0.6489
Ru 0.5000 0.2539 0.0000
Ru 0.5000 0.7461 0.0000
Ru 0.1323 0.7500 0.3511
Ru 0.1323 0.2500 0.3511
Tc 0.0000 0.0000 0.0000
V 0.6085 0.5000 0.3204
V 0.4016 0.0000 0.6822
V 0.0000 0.5000 0.0000
V 0.5984 0.0000 0.3178
V 0.3915 0.5000 0.6796